Entry from Alexandria: a relaxed structure of Re2OsPb (PBE-GGA).

Properties
- DFT total energy (eV per atom) = -9.33
- energy of formation from the pure elements (meV/atom) = 632

abc: 2.960 2.913 8.222
angles: 90.00 100.34 90.00
Space group Pm (No. 6)
Symmetry-distinct sites (fractional):
Re1 0.000 0.000 0.000 x1
Re2 0.393 0.500 0.788 x1
Os1 0.788 0.000 0.575 x1
Pb1 0.149 0.500 0.310 x1